The following is a DFT calculation (PBE) of an optimized crystal structure of GdCdP2.

Values from the calculation:
ΔE_f = -552.3 meV/atom
N(E_F) = 3.19 states/eV per cell

abc: 6.4444 6.4444 6.4444
angles: 37.45 37.45 37.45
Atoms (fractional coordinates):
Gd: 0.0000 0.0000 0.0000
Cd: 0.5000 0.5000 0.5000
P: 0.2493 0.2493 0.2493
P: 0.7507 0.7507 0.7507